VASP calculation (PBE with a Hubbard U) on Zr2MnO after structural relaxation.

Lattice parameters (Å, degrees): 3.0407 3.0407 26.7676 90.00 90.00 120.00
Positions (direct):
Zr (0.0000, 0.0000, 0.1087)
Zr (0.0000, 0.0000, 0.8913)
Zr (0.3333, 0.6667, 0.5579)
Zr (0.3333, 0.6667, 0.7754)
Zr (0.6667, 0.3333, 0.2246)
Zr (0.6667, 0.3333, 0.4421)
Mn (0.0000, 0.0000, 0.0000)
Mn (0.3333, 0.6667, 0.6667)
Mn (0.6667, 0.3333, 0.3333)
O (0.0000, 0.0000, 0.5000)
O (0.3333, 0.6667, 0.1667)
O (0.6667, 0.3333, 0.8333)

- calculated total energy (eV per formula unit) = -32.4